Material: CsScSe2
Method: DFT, GGA-PBE
State: relaxed

Output
N(E_F), states/eV/cell: 0.00
M_tot, μB/cell: 0.0
Space group: No. 9
Final energy, eV per atom: -5.040
Uncorrected formation energy, kJ/mol of atoms: -144.8
ρ, Mg/m³: 3.6

Structure (POSCAR):
```
CsScSe2
1.0
16.4373 0.0000 -1.5557
4.6687 5.3016 -2.2278
-4.6687 5.3016 2.2278
Se Cs Sc
4 2 2
Cartesian
2.0071 9.8565 -0.0584 Se
10.2258 6.0483 -0.8363 Se
7.1837 8.6662 -1.1304 Se
15.4024 7.2385 -1.9083 Se
11.9975 9.2948 -0.9807 Cs
3.7789 6.6100 -0.2029 Cs
11.7413 3.9793 -0.8594 Sc
3.5227 1.3222 -0.0815 Sc
```

Material: CaBiCl2
Method: DFT, GGA-PBE
State: relaxed

Output
N(E_F), states/eV/cell: 2.46
M_tot, μB/cell: 0.3
Space group: No. 166
Energy above the most stable polymorph in this dataset, meV/atom: 740
Final energy, eV per atom: -3.114
Uncorrected formation energy, kJ/mol of atoms: -69.4
ρ, Mg/m³: 4.4

Structure (POSCAR):
```
CaBiCl2
1.0
2.1429 0.0000 10.0970
-1.0715 1.8558 10.0970
-1.0715 -1.8558 10.0970
Ca Cl Bi
1 2 1
Cartesian
0.0000 0.0000 0.0000 Ca
0.0000 0.0000 27.6929 Cl
0.0000 0.0000 2.5980 Cl
0.0000 0.0000 15.1454 Bi
```

Material: RbNi3Mo
Method: DFT, GGA-PBE
State: relaxed

Output
N(E_F), states/eV/cell: 7.56
M_tot, μB/cell: 0.0
Space group: No. 221
Energy above the most stable polymorph in this dataset, meV/atom: 0
Final energy, eV per atom: -4.676
ρ, Mg/m³: 5.6

Structure (POSCAR):
```
RbNi3Mo
1.0
-3.1861 -3.4545 0.4396
2.0456 -1.3743 4.0255
-2.8182 2.9078 2.4249
Rb Ni Mo
1 3 1
Cartesian
-1.9793 -0.9605 3.4450 Rb
-1.4091 1.4539 1.2124 Ni
-1.5930 -1.7272 0.2198 Ni
1.0228 -0.6872 2.0127 Ni
0.0000 0.0000 0.0000 Mo
```

Material: Tm6HgPb3
Method: DFT, GGA-PBE
State: relaxed

Output
N(E_F), states/eV/cell: 15.47
M_tot, μB/cell: 0.0
Space group: No. 36
Final energy, eV per atom: -4.094
ρ, Mg/m³: 10.6

Structure (POSCAR):
```
Tm6HgPb3
1.0
6.4472 0.0000 0.0000
0.0000 9.7209 -0.5511
0.0000 -2.7064 9.3528
Pb Tm Hg
6 12 2
Cartesian
3.3282 6.8503 6.9596 Pb
3.3282 1.7590 0.5711 Pb
0.1046 5.2555 8.2306 Pb
1.7601 2.5947 5.1281 Pb
0.1046 0.1642 1.8421 Pb
4.9837 4.4198 3.6736 Pb
6.4279 -1.2871 8.2217 Tm
4.2979 3.7021 6.6692 Tm
4.5342 7.7097 4.2577 Tm
1.3107 -0.6952 4.5440 Tm
4.2979 1.3396 3.7047 Tm
1.3107 2.4299 8.4654 Tm
0.0639 6.6928 1.8621 Tm
1.0743 5.6749 5.0970 Tm
1.0743 3.3123 2.1325 Tm
3.2874 0.3217 6.9396 Tm
4.5342 4.5846 0.3363 Tm
3.2044 8.3016 0.5800 Tm
2.7925 6.0174 2.4004 Hg
6.0161 0.9971 6.4013 Hg
```

Material: RbSrPt3
Method: DFT, GGA-PBE
State: relaxed

Output
N(E_F), states/eV/cell: 7.73
M_tot, μB/cell: 0.0
Space group: No. 221
Energy above the most stable polymorph in this dataset, meV/atom: 328
Final energy, eV per atom: -2.926
ρ, Mg/m³: 8.7

Structure (POSCAR):
```
RbSrPt3
1.0
5.2568 0.0000 0.0000
0.0000 5.2568 0.0000
0.0000 0.0000 5.2568
Pt Sr Rb
3 1 1
Cartesian
0.0000 2.6284 0.0000 Pt
0.0000 0.0000 2.6284 Pt
2.6284 0.0000 0.0000 Pt
2.6284 2.6284 2.6284 Sr
0.0000 0.0000 0.0000 Rb
```

Material: NaSnB
Method: DFT, GGA-PBE
State: relaxed

Output
N(E_F), states/eV/cell: 0.54
M_tot, μB/cell: 0.0
Space group: No. 62
Final energy, eV per atom: -3.580
ρ, Mg/m³: 4.8

Structure (POSCAR):
```
NaSnB
1.0
-2.1295 -4.6708 -5.3516
3.3168 1.0810 -2.2633
3.6280 -5.0062 2.9257
Sn Na B
4 4 4
Cartesian
4.2995 -2.9185 -0.8233 Sn
0.4502 -1.7825 -2.1016 Sn
4.3650 -6.8136 -2.5876 Sn
0.5157 -5.6775 -3.8659 Sn
2.5786 -3.3810 -3.5661 Na
2.9994 -0.1570 -1.4096 Na
1.8158 -8.4390 -3.2796 Na
2.2366 -5.2151 -1.1231 Na
2.9021 -6.0566 -4.3699 B
-0.2410 -3.3717 -3.8736 B
5.0562 -5.2244 -0.8156 B
1.9131 -2.5395 -0.3193 B
```

Material: ErTlAgCl5
Method: DFT, GGA-PBE
State: relaxed

Output
N(E_F), states/eV/cell: 0.00
M_tot, μB/cell: 0.0
Space group: No. 15
Final energy, eV per atom: -3.893
Uncorrected formation energy, kJ/mol of atoms: -146.3
ρ, Mg/m³: 4.3

Structure (POSCAR):
```
ErTlAgCl5
1.0
-5.8383 -4.8755 -0.0656
6.3774 -3.6260 2.0103
-1.9612 5.5781 8.1832
Cl Ag Tl Er
10 2 2 2
Cartesian
-4.3305 -1.4539 3.5012 Cl
-0.6208 -2.3252 1.0201 Cl
-6.4989 -0.6091 6.2095 Cl
5.0768 -2.3144 3.9184 Cl
-1.1393 -3.5223 4.7922 Cl
-0.2828 0.5988 5.3358 Cl
2.9083 -1.4696 6.6268 Cl
2.1632 2.0997 8.8630 Cl
-3.5853 -5.0232 1.2650 Cl
-0.8014 -0.5983 9.1079 Cl
1.1317 0.1714 7.5063 Ag
-2.5539 -3.0949 2.6217 Ag
-3.0807 -0.2595 6.7904 Tl
1.6586 -2.6640 3.3375 Tl
0.0000 0.0000 0.0000 Er
-0.9806 2.7890 4.0916 Er
```

Material: TaZn2Rh
Method: DFT, GGA-PBE
State: relaxed

Output
N(E_F), states/eV/cell: 1.89
M_tot, μB/cell: 0.0
Space group: No. 47
Final energy, eV per atom: -5.565
ρ, Mg/m³: 11.2

Structure (POSCAR):
```
TaZn2Rh
1.0
3.0950 0.0000 0.0000
0.0000 4.4120 0.0000
0.0000 0.0000 4.5131
Zn Rh Ta
2 1 1
Cartesian
1.5475 2.2060 0.0000 Zn
0.0000 0.0000 0.0000 Zn
1.5475 0.0000 2.2565 Rh
0.0000 2.2060 2.2565 Ta
```

Q: What is the final energy in the seventh record?
A: -3.893 eV per atom